Computed, not measured: a geometry-optimized SiSbPt structure at the PBE level of DFT.

Unit cell a=7.1772 b=3.9776 c=7.8979 alpha=90.00 beta=90.00 gamma=90.00
Positions (direct):
1 Si 0.1272 0.7500 0.5826
2 Si 0.3728 0.2500 0.0826
3 Si 0.6272 0.7500 0.9174
4 Si 0.8728 0.2500 0.4174
5 Pt 0.2740 0.7500 0.9058
6 Pt 0.7260 0.2500 0.0942
7 Pt 0.2260 0.2500 0.4058
8 Pt 0.7740 0.7500 0.5942
9 Sb 0.0184 0.7500 0.1692
10 Sb 0.4816 0.2500 0.6692
11 Sb 0.9816 0.2500 0.8308
12 Sb 0.5184 0.7500 0.3308

- DFT total energy: -5.40 eV/atom
- Calculated volume: 225.5 Å³/cell
- Space group: Pnma, No. 62